{"formula": "Cr2FeSi", "functional": "PBE", "state": "optimized geometry", "lattice": [[-1.607, 3.464, -0.187], [-0.249, -0.251, -2.509], [-4.365, -2.088, -1.164]], "species": ["Cr", "Si", "Fe", "Cr"], "frac_coords": [[0.000, 0.002, 0.997], [0.500, 0.750, 0.750], [0.500, 0.250, 0.250], [0.000, 0.498, 0.503]], "raw_formation_energy_kj_per_mol_atoms": -13.18, "n_ef_per_ev_fu": 3.086, "e_tot_ev_per_atom": -8.420, "vol_a3_per_atom": 11.2, "magnetic_moment_mub_per_fu": 0.003, "rho_g_cm3": 6.94}